1.
Material: CuS
Method: DFT, GGA-PBE
State: optimized geometry

Calculated values
Crystal system = orthorhombic
Raw total energy = -3.814 eV/atom

abc: 4.9587 6.4203 3.9184
angles: 90.00 90.00 90.00
With the nearest neighbours (Å) after each atom.
Space group Cmme (No. 67)
One atom of each set of equivalent atoms:
Cu 0.0000 0.0000 0.0000  2 S 2.19
S 0.0000 0.2500 0.3810  2 Cu 2.19

---

2.
Material: Cu2S
Method: DFT, GGA-PBE
State: optimized geometry

Calculated values
Crystal system = monoclinic
Raw total energy = -3.993 eV/atom

abc: 3.9859 7.1219 7.9633
angles: 90.00 119.95 90.00
With the nearest neighbours (Å) after each atom.
Space group P2_1/c (No. 14)
One atom of each set of equivalent atoms:
Cu 0.9998 0.0009 0.2477  2 S 2.19
Cu 0.0354 0.7471 0.0088  3 S 2.30
S 0.3680 0.7493 0.8419  5 Cu 2.19-2.30

---

3.
Material: CuS3
Method: DFT, GGA-PBE
State: optimized geometry

Calculated values
Crystal system = monoclinic
Raw total energy = -3.884 eV/atom

abc: 11.6085 7.1405 8.8027
angles: 90.00 121.22 90.00
With the nearest neighbours (Å) after each atom.
Space group C2/m (No. 12)
One atom of each set of equivalent atoms:
Cu 0.2219 0.0000 0.3506  3 S 2.20-2.25
Cu 0.2500 0.2500 0.0000  4 S 2.29-2.35
S 0.0208 0.0000 0.3304  1 S 1.98
S 0.0328 0.5000 0.8294  1 S 1.96
S 0.0994 0.0000 0.9320  1 S 1.98
S 0.1644 0.5000 0.3159  1 S 1.96
S 0.2206 0.2363 0.7225  2 Cu 2.20-2.29, 1 S 2.28